No. 1
The following is a PBE calculation of a geometry-optimized TiBeNi2Te structure, from the Alexandria database.

The structure in extended XYZ format:
```
5
Lattice="-2.859 -2.705 0.827 2.324 -3.136 -2.225 1.917 -0.989 3.395" Properties=species:S:1:pos:R:3 pbc="T T T"
Ti 1.162 -1.568 -1.113
Ni 0.958 -0.494 1.697
Ni -1.430 -1.353 0.413
Te 0.691 -3.415 0.998
Be 0.000 0.000 0.000
```

**Calculated total energy**: -5.16 eV/atom
**Formation energy from raw total energies**: 108 meV/atom
**Density of states at the Fermi level**: 5.8 states/eV/f.u.
**Magnetic moment**: 0.000 μB per cell
**Space-group type**: P4/mmm

No. 2
The following is a PBE calculation of a geometry-optimized MgZrRe2 structure, from the Alexandria database.

The structure in extended XYZ format:
```
4
Lattice="2.783 0.000 0.000 -0.897 2.634 0.000 0.000 0.000 9.246" Properties=species:S:1:pos:R:3 pbc="T T T"
Mg 0.943 1.317 6.935
Zr 0.943 1.317 2.312
Re 0.000 0.000 9.221
Re 0.000 0.000 4.649
```

**Calculated total energy**: -8.60 eV/atom
**Calculated formation energy**: 0.161 eV/atom
**Density of states at the Fermi level**: 2.6 states/eV/f.u.
**Magnetic moment**: 0.000 μB per cell
**Space-group type**: Cmmm

No. 3
The following is a PBE calculation of a geometry-optimized Y4Ru2Pt structure, from the Alexandria database.

The structure in extended XYZ format:
```
7
Lattice="4.625 0.000 1.445 2.087 4.127 1.445 -0.072 -0.044 8.355" Properties=species:S:1:pos:R:3 pbc="T T T"
Y 2.473 1.521 8.333
Y 4.167 2.562 2.912
Y 0.809 0.498 5.534
Y 5.830 3.585 5.710
Ru 1.671 1.028 2.775
Ru 4.969 3.055 8.469
Pt 0.000 0.000 0.000
```

**Calculated total energy**: -7.75 eV/atom
**Calculated formation energy**: -0.541 eV/atom
**Density of states at the Fermi level**: 4.1 states/eV/f.u.
**Magnetic moment**: 0.000 μB per cell
**Space-group type**: R-3m

No. 4
The following is a PBE calculation of a geometry-optimized CaZr2Au2 structure, from the Alexandria database.

The structure in extended XYZ format:
```
5
Lattice="4.166 0.000 0.000 0.000 4.166 0.000 2.083 2.083 6.914" Properties=species:S:1:pos:R:3 pbc="T T T"
Ca 0.000 0.000 0.000
Au 2.083 2.083 1.382
Au 4.166 4.166 5.532
Zr 2.083 4.166 3.457
Zr 4.166 2.083 3.457
```

**Calculated total energy**: -5.48 eV/atom
**Calculated formation energy**: -0.347 eV/atom
**Density of states at the Fermi level**: 6.2 states/eV/f.u.
**Magnetic moment**: 0.000 μB per cell
**Space-group type**: I4/mmm

No. 5
The following is a PBE calculation of a geometry-optimized Pm11Dy4Sc9 structure, from the Alexandria database.

The structure in extended XYZ format:
```
24
Lattice="3.503 0.000 0.000 0.000 13.991 -3.295 0.000 2.469 14.160" Properties=species:S:1:pos:R:3 pbc="T T T"
Dy 1.752 11.448 5.501
Dy 1.752 6.903 2.501
Dy 1.752 9.557 8.365
Dy 1.752 5.012 5.365
Pm 0.000 12.680 8.370
Pm 0.000 10.019 2.723
Pm 0.000 4.465 11.136
Pm 0.000 14.395 5.285
Pm 0.000 2.065 5.580
Pm 0.000 11.995 -0.270
Pm 0.000 3.780 2.495
Pm 0.000 6.441 8.143
Pm 0.000 0.000 0.000
Pm 0.000 5.943 -0.294
Pm 0.000 10.517 11.159
Sc 1.752 0.886 2.829
Sc 1.752 3.387 8.345
Sc 1.752 15.574 8.037
Sc 1.752 7.455 11.030
Sc 1.752 9.005 -0.165
Sc 1.752 13.073 2.520
Sc 1.752 8.230 5.433
Sc 1.752 13.510 11.162
Sc 1.752 2.950 -0.297
```

**Calculated total energy**: -5.23 eV/atom
**Calculated formation energy**: 0.086 eV/atom
**Density of states at the Fermi level**: 36.6 states/eV/f.u.
**Magnetic moment**: 0.000 μB per cell
**Space-group type**: Cmmm

No. 6
The following is a PBE calculation of a geometry-optimized La5TlRh2 structure, from the Alexandria database.

The structure in extended XYZ format:
```
16
Lattice="7.343 0.000 -3.466 -1.636 7.158 -3.466 -0.166 -0.208 9.158" Properties=species:S:1:pos:R:3 pbc="T T T"
Rh 4.467 0.998 -2.700
Rh 0.434 2.581 -1.733
Rh 1.239 6.160 -4.232
Rh 5.272 4.577 -5.199
La 4.199 6.903 -3.682
La 0.818 5.631 -1.333
La 0.000 0.000 0.000
La 4.722 1.318 3.559
La 2.600 4.897 2.442
La 1.341 0.047 5.908
La 2.940 2.052 -0.215
La -0.781 3.626 4.790
La 2.853 3.579 -3.466
La 6.321 3.324 -2.564
Tl 1.343 1.685 2.846
Tl 4.197 5.264 -0.620
```

**Calculated total energy**: -5.76 eV/atom
**Calculated formation energy**: -0.551 eV/atom
**Density of states at the Fermi level**: 11.5 states/eV/f.u.
**Magnetic moment**: 0.004 μB per cell
**Space-group type**: I4/mcm

No. 7
The following is a PBE calculation of a geometry-optimized InPdRuPt2 structure, from the Alexandria database.

The structure in extended XYZ format:
```
5
Lattice="-3.524 0.698 3.162 -2.416 -3.679 -1.881 2.177 -3.010 3.091" Properties=species:S:1:pos:R:3 pbc="T T T"
In -1.882 -2.995 2.186
Pd 1.089 -1.505 1.545
Pt -1.208 -1.839 -0.940
Pt -1.762 0.349 1.581
Ru 0.000 0.000 0.000
```

**Calculated total energy**: -4.90 eV/atom
**Calculated formation energy**: 0.959 eV/atom
**Density of states at the Fermi level**: 6.4 states/eV/f.u.
**Magnetic moment**: 0.000 μB per cell
**Space-group type**: P4/mmm

No. 8
The following is a PBE calculation of a geometry-optimized AcLa6Tb structure, from the Alexandria database.

The structure in extended XYZ format:
```
8
Lattice="5.285 0.000 0.000 0.000 5.285 0.000 0.000 0.000 10.582" Properties=species:S:1:pos:R:3 pbc="T T T"
La 2.643 0.000 2.718
La 2.643 0.000 7.864
La 0.000 2.643 7.864
La 2.643 2.643 5.291
La 0.000 2.643 2.718
La 2.643 2.643 0.000
Tb 0.000 0.000 5.291
Ac 0.000 0.000 0.000
```

**Calculated total energy**: -4.77 eV/atom
**Calculated formation energy**: 0.016 eV/atom
**Density of states at the Fermi level**: 14.8 states/eV/f.u.
**Magnetic moment**: 0.000 μB per cell
**Space-group type**: P4/mmm

No. 9
The following is a PBE calculation of a geometry-optimized Ca2Hg8Sb structure, from the Alexandria database.

The structure in extended XYZ format:
```
11
Lattice="4.788 0.000 0.000 0.000 4.788 0.000 0.000 0.000 12.905" Properties=species:S:1:pos:R:3 pbc="T T T"
Hg 2.394 2.394 4.160
Hg 2.394 4.788 6.452
Hg 0.000 2.394 6.452
Hg 2.394 0.000 1.932
Hg 2.394 4.788 10.973
Hg 0.000 2.394 1.932
Hg 2.394 2.394 8.744
Hg 4.788 2.394 10.973
Ca 0.000 0.000 8.813
Ca 4.788 4.788 4.092
Sb 0.000 4.788 0.000
```

**Calculated total energy**: -1.23 eV/atom
**Formation energy from raw total energies**: -270 meV/atom
**Density of states at the Fermi level**: 1.8 states/eV/f.u.
**Magnetic moment**: 0.000 μB per cell
**Space-group type**: P4/mmm

No. 10
The following is a PBE calculation of a geometry-optimized PrPuI4 structure, from the Alexandria database.

The structure in extended XYZ format:
```
6
Lattice="-6.266 0.752 0.666 -0.400 -5.727 2.704 4.233 5.056 3.887" Properties=species:S:1:pos:R:3 pbc="T T T"
I -2.248 2.899 5.807
I -3.117 0.421 0.432
I 0.438 1.248 2.709
I -2.870 -1.168 4.549
Pr 0.250 -1.579 4.138
Pu -3.333 -2.488 1.685
```

**Calculated total energy**: -5.32 eV/atom
**Formation energy from raw total energies**: -1101 meV/atom
**Density of states at the Fermi level**: 14.4 states/eV/f.u.
**Magnetic moment**: 6.689 μB per cell
**Space-group type**: I-4m2

No. 11
The following is a PBE calculation of a geometry-optimized Be2TeS structure, from the Alexandria database.

The structure in extended XYZ format:
```
8
Lattice="-1.490 -2.856 -4.177 5.059 -0.742 -1.298 1.899 -6.149 0.197" Properties=species:S:1:pos:R:3 pbc="T T T"
Be 4.307 -7.725 -4.581
Be 0.246 -3.280 -2.526
Be 3.001 -5.996 -1.966
Be 3.379 -2.493 -1.481
Te 1.096 -5.402 -3.358
Te 0.000 0.000 0.000
S 1.784 -1.799 -2.737
S 4.371 -4.345 -1.919
```

**Calculated total energy**: -4.33 eV/atom
**Formation energy from raw total energies**: -649 meV/atom
**Density of states at the Fermi level**: 0.0 states/eV/f.u.
**Magnetic moment**: 0.000 μB per cell
**Space-group type**: I-42d

No. 12
The following is a PBE calculation of a geometry-optimized TbDyZnCd structure, from the Alexandria database.

The structure in extended XYZ format:
```
4
Lattice="5.193 0.000 0.000 2.597 4.498 0.000 2.597 1.499 4.240" Properties=species:S:1:pos:R:3 pbc="T T T"
Zn 2.597 1.499 1.060
Cd 7.790 4.498 3.180
Tb 5.193 2.998 2.120
Dy 0.000 0.000 0.000
```

**Calculated total energy**: -3.17 eV/atom
**Calculated formation energy**: -0.312 eV/atom
**Density of states at the Fermi level**: 4.1 states/eV/f.u.
**Magnetic moment**: 0.003 μB per cell
**Space-group type**: F-43m